P.
P2RhClO (SCAN, PBEsol geometry); theoretical density = 3.75 g cm⁻³
1.0
4.438 0.000 0.000
0.000 4.438 0.000
0.000 0.000 4.864
P O Rh Cl
2 1 1 1
Direct
0.500 0.000 0.000 P
0.000 0.500 0.000 P
0.500 0.500 0.500 O
0.000 0.000 0.000 Rh
0.000 0.000 0.500 Cl


Q.
P2RhClO (SCAN, PBEsol geometry); theoretical density = 4.37 g cm⁻³
1.0
3.698 0.000 0.000
0.000 4.715 0.000
0.000 0.000 4.715
P Rh Cl O
2 1 1 1
Direct
0.000 0.000 0.500 P
0.000 0.500 0.000 P
0.000 0.000 0.000 Rh
0.500 0.500 0.500 Cl
0.500 0.000 0.000 O


Most stable of them? Q.


P.
SiP2ClO (SCAN, PBEsol geometry); theoretical density = 3.13 g cm⁻³
1.0
3.281 0.000 0.000
0.000 4.782 0.000
0.000 0.000 4.782
Si Cl O P
1 1 1 2
Direct
0.000 0.000 0.000 Si
0.500 0.500 0.500 Cl
0.500 0.000 0.000 O
0.000 0.000 0.500 P
0.000 0.500 0.000 P


Q.
SiP2ClO (SCAN, PBEsol geometry); theoretical density = 2.66 g cm⁻³
1.0
-2.016 -3.582 1.569
3.913 -1.518 1.560
-0.729 2.110 3.881
P Cl O Si
2 1 1 1
Direct
0.000 0.000 0.500 P
0.000 0.500 0.000 P
0.500 0.000 0.000 Cl
0.500 0.500 0.500 O
0.000 0.000 0.000 Si


Most stable of them? P.


P.
Re2Cl5O4 (SCAN, PBEsol geometry); theoretical density = 3.94 g cm⁻³
1.0
5.655 0.065 0.025
1.597 8.794 -0.079
1.729 3.964 10.404
Cl O Re
10 8 4
Direct
0.390 0.195 0.035 Cl
0.418 0.902 0.300 Cl
0.045 0.626 0.212 Cl
0.768 0.075 0.384 Cl
0.955 0.374 0.788 Cl
0.582 0.098 0.700 Cl
0.254 0.636 0.882 Cl
0.232 0.925 0.616 Cl
0.610 0.805 0.965 Cl
0.746 0.364 0.118 Cl
0.701 0.751 0.717 O
0.019 0.335 0.485 O
0.981 0.665 0.515 O
0.117 0.991 0.870 O
0.533 0.560 0.607 O
0.883 0.009 0.130 O
0.299 0.249 0.283 O
0.467 0.440 0.393 O
0.358 0.893 0.807 Re
0.786 0.598 0.650 Re
0.642 0.107 0.193 Re
0.214 0.402 0.350 Re


Q.
Re2Cl5O4 (SCAN, PBEsol geometry); theoretical density = 3.69 g cm⁻³
1.0
-4.227 -3.020 2.368
0.836 -3.902 -5.020
6.667 -0.536 5.436
Cl Re O
5 2 4
Direct
0.119 0.338 0.646 Cl
0.611 0.113 0.851 Cl
0.245 0.981 0.222 Cl
0.680 0.732 0.004 Cl
0.177 0.368 0.074 Cl
0.950 0.010 0.994 Re
0.905 0.445 0.444 Re
0.832 0.224 0.238 O
0.037 0.858 0.824 O
0.075 0.683 0.448 O
0.633 0.504 0.477 O


Most stable of them? P.